No. 1
PBE TaMo3Pb, optimized geometry; energy above the most stable polymorph in this dataset = 0 meV per atom; D(E_F) = 8.46 states/eV per cell; symmetry = Pm-3m; spin magnetization = 1.48 μB per formula unit; ΔH_f (0 K) = 8.558 eV/f.u.
1.0
-0.1726 0.4868 -4.8188
2.0511 -4.3608 -0.5140
-4.3876 -2.0577 -0.0507
Mo Pb Ta
3 1 1
direct
0.0000 0.5000 0.0000
0.0000 0.0000 0.5000
0.5000 0.0000 0.0000
0.5000 0.5000 0.5000
0.0000 0.0000 0.0000

No. 2
PBE Ta3MoPb, optimized geometry; energy above the most stable polymorph in this dataset = 1469 meV per atom; D(E_F) = 11.02 states/eV per cell; symmetry = Pm-3m; spin magnetization = 0.00 μB per formula unit; ΔH_f (0 K) = 13.626 eV/f.u.
1.0
-0.2816 -2.1008 -4.5475
-3.4177 -3.2494 1.7128
-3.6624 3.1938 -1.2487
Pb Ta Mo
1 3 1
direct
0.0000 0.0000 0.0000
0.0000 0.0000 0.5000
0.5000 0.0000 0.0000
0.0000 0.5000 0.0000
0.5000 0.5000 0.5000

No. 3
PBE TaMoPb2, optimized geometry; energy above the most stable polymorph in this dataset = 518 meV per atom; D(E_F) = 4.24 states/eV per cell; symmetry = P2/m; spin magnetization = 0.00 μB per formula unit; ΔH_f (0 K) = 3.200 eV/f.u.
1.0
-4.1090 1.4798 1.5336
-1.0632 0.1310 -2.9751
-2.1200 -5.4314 -0.4390
Pb Mo Ta
2 1 1
direct
0.0000 0.5204 0.5041
0.0000 0.9796 0.9959
0.5000 0.7500 0.7500
0.5000 0.2500 0.2500

No. 4
PBE TaMoPb2, optimized geometry; energy above the most stable polymorph in this dataset = 0 meV per atom; D(E_F) = 2.48 states/eV per cell; symmetry = Pm; spin magnetization = 0.00 μB per formula unit; ΔH_f (0 K) = 1.126 eV/f.u.
1.0
-2.2494 2.4038 -0.8353
-2.3235 -2.3550 -0.5200
-6.0821 -3.0885 7.4907
Mo Pb Ta
1 2 1
direct
0.5000 0.7608 0.6982
0.0000 0.8968 0.9309
0.5000 0.3623 0.3132
0.0000 0.4801 0.5577

No. 5
PBE TaMoPb2, optimized geometry; energy above the most stable polymorph in this dataset = 1604 meV per atom; D(E_F) = 4.58 states/eV per cell; symmetry = I-42d; spin magnetization = 3.00 μB per formula unit; ΔH_f (0 K) = 7.544 eV/f.u.
1.0
6.4546 0.0000 0.0000
0.0000 6.4546 0.0000
3.2273 3.2273 6.4208
Pb Mo Ta
4 2 2
direct
0.8750 0.8779 0.7500
0.6279 0.1250 0.2500
0.1221 0.6250 0.2500
0.3750 0.3721 0.7500
0.2500 0.7500 0.5000
0.5000 0.5000 0.0000
0.7500 0.2500 0.5000
0.0000 0.0000 0.0000

No. 6
PBE TaMoPb2, optimized geometry; energy above the most stable polymorph in this dataset = 508 meV per atom; D(E_F) = 4.93 states/eV per cell; symmetry = R-3m; spin magnetization = 0.00 μB per formula unit; ΔH_f (0 K) = 3.157 eV/f.u.
1.0
-4.6071 1.0360 -8.1655
-4.0367 -2.1467 -8.2505
-6.6088 -1.0067 -6.6546
Ta Mo Pb
1 1 2
direct
0.2500 0.2500 0.2500
0.7500 0.7500 0.7500
0.0032 0.0032 0.0032
0.4968 0.4968 0.4968

Repeat the second record exactly.
PBE Ta3MoPb, optimized geometry; energy above the most stable polymorph in this dataset = 1469 meV per atom; D(E_F) = 11.02 states/eV per cell; symmetry = Pm-3m; spin magnetization = 0.00 μB per formula unit; ΔH_f (0 K) = 13.626 eV/f.u.
1.0
-0.2816 -2.1008 -4.5475
-3.4177 -3.2494 1.7128
-3.6624 3.1938 -1.2487
Pb Ta Mo
1 3 1
direct
0.0000 0.0000 0.0000
0.0000 0.0000 0.5000
0.5000 0.0000 0.0000
0.0000 0.5000 0.0000
0.5000 0.5000 0.5000